Compound: LaDyPu2Te5
Source: Alexandria via LeMat-Bulk
Functional: PBE-GGA
Structure: optimized geometry

Structure (CIF):
```
data_LaDyPu2Te5
_chemical_formula_sum 'La1 Dy1 Pu2 Te5'
_space_group_name_H-M_alt 'P 4/m m m'
_space_group_IT_number 123
_space_group_name_Hall '-P 4 2'
_cell_length_a 5.532
_cell_length_b 5.532
_cell_length_c 11.883
_cell_angle_alpha 90.00
_cell_angle_beta 90.00
_cell_angle_gamma 90.00
loop_
_atom_site_label
_atom_site_type_symbol
_atom_site_fract_x
_atom_site_fract_y
_atom_site_fract_z
La1 La 0.000 0.000 0.000
Dy1 Dy 0.000 0.000 0.500
Pu1 Pu 0.500 0.500 0.329
Te1 Te 0.000 0.000 0.250
Te2 Te 0.000 0.500 0.500
Te3 Te 0.500 0.500 0.000
```

## Properties
- formation energy without anion corrections (eV/atom) = -0.771
- electronic total energy (eV per formula unit) = -60.839
- V (A^3/atom) = 40.41

---

Compound: SrSnF2
Source: Alexandria via LeMat-Bulk
Functional: PBE-GGA
Structure: optimized geometry

Structure (CIF):
```
data_SrSnF2
_chemical_formula_sum 'Sr4 Sn4 F8'
_space_group_name_H-M_alt 'I -4 2 d'
_space_group_IT_number 122
_space_group_name_Hall 'I -4 2bw'
_cell_length_a 6.268
_cell_length_b 6.268
_cell_length_c 11.027
_cell_angle_alpha 90.00
_cell_angle_beta 90.00
_cell_angle_gamma 90.00
loop_
_atom_site_label
_atom_site_type_symbol
_atom_site_fract_x
_atom_site_fract_y
_atom_site_fract_z
Sr1 Sr 0.000 0.000 0.000
Sn1 Sn 0.000 0.000 0.500
F1 F 0.157 0.250 0.125
```

## Properties
- formation energy without anion corrections (eV/atom) = -2.213
- electronic total energy (eV per formula unit) = -18.278
- V (A^3/atom) = 27.08

---

Compound: RbBCl3
Source: Alexandria via LeMat-Bulk
Functional: PBE-GGA
Structure: optimized geometry

Structure (CIF):
```
data_RbBCl3
_chemical_formula_sum 'Rb4 B4 Cl12'
_space_group_name_H-M_alt 'I 4/m m m'
_space_group_IT_number 139
_space_group_name_Hall '-I 4 2'
_cell_length_a 7.418
_cell_length_b 7.418
_cell_length_c 9.368
_cell_angle_alpha 90.00
_cell_angle_beta 90.00
_cell_angle_gamma 90.00
loop_
_atom_site_label
_atom_site_type_symbol
_atom_site_fract_x
_atom_site_fract_y
_atom_site_fract_z
Rb1 Rb 0.000 0.500 0.250
B1 B 0.000 0.000 0.000
B2 B 0.000 0.000 0.500
Cl1 Cl 0.000 0.000 0.182
Cl2 Cl 0.235 0.235 0.500
```

## Properties
- formation energy without anion corrections (eV/atom) = -0.591
- electronic total energy (eV per formula unit) = -16.139
- V (A^3/atom) = 25.78

---

Compound: Al3SiOs4
Source: Alexandria via LeMat-Bulk
Functional: PBE-GGA
Structure: optimized geometry

Structure (CIF):
```
data_Al3SiOs4
_chemical_formula_sum 'Al3 Si1 Os4'
_space_group_name_H-M_alt 'P 4/m m m'
_space_group_IT_number 123
_space_group_name_Hall '-P 4 2'
_cell_length_a 2.992
_cell_length_b 2.992
_cell_length_c 12.055
_cell_angle_alpha 90.00
_cell_angle_beta 90.00
_cell_angle_gamma 90.00
loop_
_atom_site_label
_atom_site_type_symbol
_atom_site_fract_x
_atom_site_fract_y
_atom_site_fract_z
Al1 Al 0.000 0.000 0.000
Al2 Al 0.000 0.000 0.250
Si1 Si 0.000 0.000 0.500
Os1 Os 0.500 0.500 0.127
Os2 Os 0.500 0.500 0.383
```

## Properties
- formation energy without anion corrections (eV/atom) = -0.394
- electronic total energy (eV per formula unit) = -64.720
- V (A^3/atom) = 13.49

---

Compound: SrCu2Br
Source: Alexandria via LeMat-Bulk
Functional: PBE-GGA
Structure: optimized geometry

Structure (CIF):
```
data_SrCu2Br
_chemical_formula_sum 'Sr4 Cu8 Br4'
_space_group_name_H-M_alt 'I -4 2 d'
_space_group_IT_number 122
_space_group_name_Hall 'I -4 2bw'
_cell_length_a 8.564
_cell_length_b 8.564
_cell_length_c 5.635
_cell_angle_alpha 90.00
_cell_angle_beta 90.00
_cell_angle_gamma 90.00
loop_
_atom_site_label
_atom_site_type_symbol
_atom_site_fract_x
_atom_site_fract_y
_atom_site_fract_z
Sr1 Sr 0.000 0.000 0.000
Cu1 Cu 0.226 0.250 0.625
Br1 Br 0.000 0.000 0.500
```

## Properties
- formation energy without anion corrections (eV/atom) = -0.088
- electronic total energy (eV per formula unit) = -11.898
- V (A^3/atom) = 25.83